Record 1
# Ta3CuGe5

A relaxed structure of Ta3CuGe5 (PBE-GGA, OQMD).

The structure in CIF format:
```
data_Ta3CuGe5
_chemical_formula_sum 'Ta3 Cu1 Ge5'
_space_group_name_H-M_alt 'P 1'
_space_group_IT_number 1
_cell_length_a 5.504
_cell_length_b 5.504
_cell_length_c 6.785
_cell_angle_alpha 90.00
_cell_angle_beta 90.00
_cell_angle_gamma 120.00
loop_
_space_group_symop_operation_xyz
'x,y,z'
loop_
_atom_site_label
_atom_site_fract_x
_atom_site_fract_y
_atom_site_fract_z
Ta1 0.000 0.500 0.500
Ge1 0.000 0.000 0.500
Ge2 0.333 0.667 0.822
Ta2 0.500 0.500 0.500
Ge3 0.667 0.333 0.822
Ge4 0.333 0.667 0.178
Cu1 0.000 0.000 0.000
Ta3 0.500 0.000 0.500
Ge5 0.667 0.333 0.178
```

Results
SG   P6/mmm



Record 2
# TaCu2Ge

A relaxed structure of TaCu2Ge (PBE-GGA, OQMD).

The structure in CIF format:
```
data_TaCu2Ge
_chemical_formula_sum 'Ta1 Cu2 Ge1'
_space_group_name_H-M_alt 'P 1'
_space_group_IT_number 1
_cell_length_a 4.347
_cell_length_b 4.347
_cell_length_c 4.347
_cell_angle_alpha 60.00
_cell_angle_beta 60.00
_cell_angle_gamma 60.00
loop_
_space_group_symop_operation_xyz
'x,y,z'
loop_
_atom_site_label
_atom_site_fract_x
_atom_site_fract_y
_atom_site_fract_z
Ge1 0.500 0.500 0.500
Ta1 0.250 0.250 0.250
Cu1 0.750 0.750 0.750
Cu2 0.000 0.000 0.000
```

Results
SG   F-43m



Record 3
# Ta2CuGe2

A relaxed structure of Ta2CuGe2 (PBE-GGA, OQMD).

The structure in CIF format:
```
data_Ta2CuGe2
_chemical_formula_sum 'Ta2 Cu1 Ge2'
_space_group_name_H-M_alt 'P 1'
_space_group_IT_number 1
_cell_length_a 6.321
_cell_length_b 6.321
_cell_length_c 6.321
_cell_angle_alpha 142.08
_cell_angle_beta 142.08
_cell_angle_gamma 54.71
loop_
_space_group_symop_operation_xyz
'x,y,z'
loop_
_atom_site_label
_atom_site_fract_x
_atom_site_fract_y
_atom_site_fract_z
Ta1 0.750 0.250 0.500
Ta2 0.250 0.750 0.500
Ge1 0.395 0.395 0.000
Ge2 0.605 0.605 0.000
Cu1 0.000 0.000 0.000
```

Results
SG   I4/mmm



Record 4
# Ta2CuGe

A relaxed structure of Ta2CuGe (PBE-GGA, OQMD).

The structure in CIF format:
```
data_Ta2CuGe
_chemical_formula_sum 'Ta2 Cu1 Ge1'
_space_group_name_H-M_alt 'P 1'
_space_group_IT_number 1
_cell_length_a 4.521
_cell_length_b 4.521
_cell_length_c 4.521
_cell_angle_alpha 60.00
_cell_angle_beta 60.00
_cell_angle_gamma 60.00
loop_
_space_group_symop_operation_xyz
'x,y,z'
loop_
_atom_site_label
_atom_site_fract_x
_atom_site_fract_y
_atom_site_fract_z
Ta1 0.000 0.000 0.000
Ge1 0.500 0.500 0.500
Ta2 0.750 0.750 0.750
Cu1 0.250 0.250 0.250
```

Results
SG   F-43m



Record 5
# TaCuTcGe

A relaxed structure of TaCuTcGe (PBE-GGA, OQMD).

The structure in CIF format:
```
data_TaCuTcGe
_chemical_formula_sum 'Ta1 Cu1 Tc1 Ge1'
_space_group_name_H-M_alt 'P 1'
_space_group_IT_number 1
_cell_length_a 4.389
_cell_length_b 4.389
_cell_length_c 4.389
_cell_angle_alpha 60.00
_cell_angle_beta 60.00
_cell_angle_gamma 60.00
loop_
_space_group_symop_operation_xyz
'x,y,z'
loop_
_atom_site_label
_atom_site_fract_x
_atom_site_fract_y
_atom_site_fract_z
Cu1 0.750 0.750 0.750
Tc1 0.250 0.250 0.250
Ge1 0.000 0.000 0.000
Ta1 0.500 0.500 0.500
```

Results
Offset from the most stable computed form   0 meV per atom
SG   F-43m



Record 6
# YTaCuGe

A relaxed structure of YTaCuGe (PBE-GGA, OQMD).

The structure in CIF format:
```
data_YTaCuGe
_chemical_formula_sum 'Y1 Ta1 Cu1 Ge1'
_space_group_name_H-M_alt 'P 1'
_space_group_IT_number 1
_cell_length_a 4.711
_cell_length_b 4.711
_cell_length_c 4.711
_cell_angle_alpha 60.00
_cell_angle_beta 60.00
_cell_angle_gamma 60.00
loop_
_space_group_symop_operation_xyz
'x,y,z'
loop_
_atom_site_label
_atom_site_fract_x
_atom_site_fract_y
_atom_site_fract_z
Ta1 0.250 0.250 0.250
Ge1 0.000 0.000 0.000
Y1 0.500 0.500 0.500
Cu1 0.750 0.750 0.750
```

Results
Offset from the most stable computed form   0 meV per atom
SG   F-43m



| no. | VASP energy (eV/cell) |
| --- | --- |
| 1 | -59.600 |
| 2 | -23.134 |
| 3 | -34.505 |
| 4 | -30.477 |
| 5 | -30.428 |
| 6 | -24.847 |